Entry 1:
4
Lattice="-1.4658 2.4379 5.0099 1.4658 -2.4379 5.0099 1.4658 2.4379 -5.0099" Properties=species:S:1:pos:R:3 comment="PBE LiTcHg2, relaxed" e_form_ev_per_atom=0.337 m_tot_mub_per_atom=0.00 pbc="T T T"
Li 0.0000 0.0000 0.0000
Tc 1.4658 0.0000 2.4691
Hg 0.0000 0.0000 4.9511
Hg 0.0000 2.4379 2.5891

Entry 2:
4
Lattice="1.7937 1.0356 11.1201 -1.7937 1.0356 11.1201 0.0000 -2.0712 11.1201" Properties=species:S:1:pos:R:3 comment="PBE CaHo2Ga, relaxed" e_form_ev_per_atom=-0.036 m_tot_mub_per_atom=0.00 pbc="T T T"
Ca 0.0000 0.0000 0.0000
Ho 0.0000 0.0000 3.4394
Ho 0.0000 0.0000 29.9210
Ga 0.0000 0.0000 16.6802

Entry 3:
3
Lattice="1.8533 1.0700 5.6735 -1.8533 1.0700 5.6735 0.0000 -2.1400 5.6735" Properties=species:S:1:pos:R:3 comment="PBE GaPdBr, relaxed" m_tot_mub_per_atom=0.00 e_form_raw_ev_per_atom=-0.37 pbc="T T T"
Ga 0.0000 0.0000 0.0000
Pd 0.0000 0.0000 6.9347
Br 0.0000 0.0000 14.5102

Entry 4:
5
Lattice="5.4529 0.0000 0.0000 0.0000 5.4529 0.0000 0.0000 0.0000 4.9854" Properties=species:S:1:pos:R:3 comment="PBE MgSbTe2Os, relaxed" m_tot_mub_per_atom=0.00 e_form_raw_ev_per_atom=0.56 pbc="T T T"
Mg 0.0000 0.0000 0.0000
Sb 2.7265 2.7265 0.0000
Te 0.0000 2.7265 2.4927
Te 2.7265 0.0000 2.4927
Os 2.7265 2.7265 2.4927

Entry 5:
14
Lattice="1.7659 -5.8578 0.0000 1.7659 5.8578 0.0000 0.0000 0.0000 11.7253" Properties=species:S:1:pos:R:3 comment="PBE Ho4C2N, relaxed" m_tot_mub_per_atom=0.03 e_form_raw_ev_per_atom=-0.53 pbc="T T T"
Ho 0.0000 0.0000 0.0000
Ho 0.0000 0.0000 5.8627
Ho 1.7659 2.6603 7.2365
Ho 1.7659 2.6603 10.3515
Ho 1.7659 0.3957 2.9313
Ho 1.7659 -0.3957 8.7940
Ho 1.7659 -2.6603 1.3738
Ho 1.7659 -2.6603 4.4888
C 1.7659 1.6158 0.7848
C 1.7659 1.6158 5.0779
C 1.7659 -1.6158 6.6475
C 1.7659 -1.6158 10.9405
N 1.7659 4.7314 2.9313
N 1.7659 -4.7314 8.7940

Entry 6:
8
Lattice="6.1153 0.0000 0.0000 0.0000 3.5158 0.0000 -2.0823 0.0000 5.8292" Properties=species:S:1:pos:R:3 comment="PBE ThPa2NbC4, relaxed" e_form_ev_per_atom=-0.344 m_tot_mub_per_atom=0.00 pbc="T T T"
Th 0.0000 0.0000 0.0000
Pa 2.0165 0.0000 2.9146
Pa 3.0576 1.7579 0.0000
Nb -1.0411 1.7579 2.9146
C -0.0373 0.0000 4.2614
C 0.9496 1.7579 1.6312
C 3.0834 1.7579 4.1980
C 4.0703 0.0000 1.5678

Entry 7:
5
Lattice="4.6758 0.0000 0.0000 0.0000 4.6758 0.0000 0.0000 0.0000 4.6758" Properties=species:S:1:pos:R:3 comment="PBE TiP3N, relaxed" m_tot_mub_per_atom=0.43 e_form_raw_ev_per_atom=1.28 pbc="T T T"
Ti 0.0000 0.0000 0.0000
P 0.0000 0.0000 2.3379
P 0.0000 2.3379 0.0000
P 2.3379 0.0000 0.0000
N 2.3379 2.3379 2.3379

Entry 8:
20
Lattice="7.2645 4.1942 3.3671 -7.2645 4.1942 3.3671 0.0000 -8.3883 3.3671" Properties=species:S:1:pos:R:3 comment="PBE InSn7Pb12, relaxed" e_form_ev_per_atom=0.068 m_tot_mub_per_atom=0.00 pbc="T T T"
In 0.0000 0.0000 0.0000
Sn -6.4745 1.0966 4.2151
Sn -4.1869 -5.0588 5.8861
Sn 2.2876 -6.1553 4.2151
Sn 0.0000 0.0000 5.0506
Sn -2.2876 6.1553 5.8861
Sn 4.1869 5.0588 4.2151
Sn 6.4745 -1.0966 5.8861
Pb -1.8805 -1.9634 2.4699
Pb -3.2618 0.6095 4.2557
Pb -0.7601 2.6102 2.4700
Pb -2.1587 -2.5200 5.8455
Pb 1.1030 -3.1295 4.2557
Pb 2.6406 -0.6468 2.4700
Pb -2.6406 0.6468 7.6312
Pb -1.1030 3.1295 5.8455
Pb 2.1587 2.5200 4.2557
Pb 0.7601 -2.6102 7.6312
Pb 3.2617 -0.6095 5.8455
Pb 1.8805 1.9634 7.6312